Record 1
Ta2MnPb | PBE | relaxed

Summary:
* ΔE_f: 483 meV/atom
* crystal system: trigonal
* V: 19.0 Å³/atom

The structure in extended XYZ format:
```
4
Lattice="1.603 0.925 8.529 -1.603 0.925 8.529 0.000 -1.850 8.529" Properties=species:S:1:pos:R:3 pbc="T T T"
Ta 0.000 0.000 5.954
Ta 0.000 0.000 19.633
Mn 0.000 0.000 12.794
Pb 0.000 0.000 0.000
```

Record 2
LiY2Hf | PBE | relaxed

Summary:
* E above lowest polymorph: 202 meV/atom
* ΔE_f: 306 meV/atom
* crystal system: cubic
* V: 26.0 Å³/atom

The structure in extended XYZ format:
```
4
Lattice="0.000 3.734 3.734 3.734 0.000 3.734 3.734 3.734 0.000" Properties=species:S:1:pos:R:3 pbc="T T T"
Li 0.000 0.000 0.000
Y 1.867 1.867 1.867
Y 5.602 5.602 5.602
Hf 3.734 3.734 3.734
```

Record 3
LaBe2Os | PBE | relaxed

Summary:
* E above lowest polymorph: 514 meV/atom
* ΔE_f: 376 meV/atom
* crystal system: cubic
* V: 15.9 Å³/atom

The structure in extended XYZ format:
```
4
Lattice="0.000 3.166 3.166 3.166 0.000 3.166 3.166 3.166 0.000" Properties=species:S:1:pos:R:3 pbc="T T T"
La 0.000 0.000 0.000
Be 1.583 1.583 1.583
Be 4.749 4.749 4.749
Os 3.166 3.166 3.166
```

Record 4
ZrPaIr2 | PBE | relaxed

Summary:
* E above lowest polymorph: 175 meV/atom
* ΔE_f: -695 meV/atom
* crystal system: trigonal
* V: 20.3 Å³/atom

The structure in extended XYZ format:
```
4
Lattice="2.297 1.326 4.446 -2.297 1.326 4.446 0.000 -2.652 4.446" Properties=species:S:1:pos:R:3 pbc="T T T"
Zr 0.000 0.000 0.000
Pa 0.000 0.000 6.669
Ir 0.000 0.000 3.695
Ir 0.000 0.000 9.643
```

Record 5
LaPmNd2Y5 | PBE | relaxed

Summary:
* ΔE_f: 226 meV/atom
* crystal system: tetragonal
* V: 33.7 Å³/atom

The structure in extended XYZ format:
```
18
Lattice="-4.382 4.382 7.892 4.382 -4.382 7.892 4.382 4.382 -7.892" Properties=species:S:1:pos:R:3 pbc="T T T"
La 4.382 0.000 3.946
La 0.000 4.382 3.946
Pm 0.000 0.000 3.946
Pm 0.000 0.000 11.838
Nd 5.416 1.034 0.000
Nd 1.034 3.347 0.000
Nd 3.347 1.034 7.892
Nd -1.034 3.347 7.892
Y 0.000 0.000 0.000
Y 2.570 1.812 -2.153
Y 2.570 -1.812 5.739
Y 2.570 1.812 2.153
Y 2.570 -1.812 10.045
Y 0.000 0.000 7.892
Y 1.812 6.194 -2.153
Y 1.812 2.570 5.739
Y 1.812 6.194 2.153
Y 1.812 2.570 10.045
```

Record 6
CaCePmHo | PBE | relaxed

Summary:
* ΔE_f: 242 meV/atom
* crystal system: cubic
* V: 34.3 Å³/atom

The structure in extended XYZ format:
```
4
Lattice="0.000 4.094 4.094 4.094 0.000 4.094 4.094 4.094 0.000" Properties=species:S:1:pos:R:3 pbc="T T T"
Ca 0.000 0.000 0.000
Ce 4.094 4.094 4.094
Pm 6.141 6.141 6.141
Ho 2.047 2.047 2.047
```

Record 7
AcZr4 | PBE | relaxed

Summary:
* ΔE_f: 1677 meV/atom
* crystal system: cubic
* V: 30.3 Å³/atom

The structure in extended XYZ format:
```
5
Lattice="5.330 0.000 0.000 0.000 5.330 0.000 0.000 0.000 5.330" Properties=species:S:1:pos:R:3 pbc="T T T"
Ac 0.000 0.000 0.000
Zr 0.000 0.000 2.665
Zr 0.000 2.665 0.000
Zr 2.665 0.000 0.000
Zr 2.665 2.665 2.665
```

Record 8
La2PrN2Cl2 | PBE | relaxed

Summary:
* energy relative to the elements, uncorrected: -31.672 kcal/mol of atoms
* crystal system: tetragonal
* V: 24.1 Å³/atom

The structure in extended XYZ format:
```
7
Lattice="-2.362 2.362 7.549 2.362 -2.362 7.549 2.362 2.362 -7.549" Properties=species:S:1:pos:R:3 pbc="T T T"
La 0.000 0.000 1.514
La 0.000 0.000 13.583
Pr 0.000 0.000 7.549
N 2.362 0.000 0.000
N 0.000 2.362 0.000
Cl 0.000 0.000 4.638
Cl 0.000 0.000 10.460
```

no.,total magnetic moment (Bohr magnetons per cell),total DFT energy (no corrections) (eV/atom)
1,0.3,-8.663
2,1.2,-5.893
3,0.0,-5.527
4,0.0,-9.636
5,0.0,-5.500
6,2.2,-4.073
7,0.0,-5.983
8,0.9,-6.370